A plane-wave DFT calculation with GGA-PBE was carried out for crystalline LiZnOs2 at its relaxed geometry.

Output
ΔE_f	1.90	eV per formula unit

a b c (Å): 2.587 2.587 8.547
angles (deg): 90.00 90.00 90.00
Space group P4/mmm (No. 123)
Unique sites:
Li: 0.000 0.000 0.000 (multiplicity 1)
Zn: 0.000 0.000 0.500 (multiplicity 1)
Os: 0.500 0.500 0.256 (multiplicity 2)